VASP calculation (PBE-GGA) on a relaxed structure of Sm2As4Ir5.

Properties
Symmetry: Fmmm (69)
ρ: 12.47 g cm⁻³
Formation energy: -0.4953 eV/atom
Crystal system: orthorhombic

abc: 5.5558 5.6660 8.0725
angles: 80.29 69.87 60.64
With the nearest neighbours (Å) after each atom.
Element x y z (fractional)
Ir (0.0000, 0.5000, 0.0000)  4 As 2.56, 4 Ir 2.78-2.83
Ir (0.2500, 0.5000, 0.5000)  4 As 2.47
As (0.4698, 0.3179, 0.7426)  5 Ir 2.47-2.56
Sm (0.1270, 0.0000, 0.7460)  6 As 3.19-3.37, 10 Ir 3.38-3.43
Ir (0.5000, 0.5000, 0.0000)  4 As 2.56, 4 Ir 2.78-2.83
Ir (0.5000, 0.0000, 0.0000)  4 As 2.50
As (0.5302, 0.6821, 0.2574)  5 Ir 2.47-2.56
As (0.7877, 0.6821, 0.7426)  5 Ir 2.47-2.56
Ir (0.7500, 0.5000, 0.5000)  4 As 2.47
As (0.2123, 0.3179, 0.2574)  5 Ir 2.47-2.56
Sm (0.8730, 0.0000, 0.2540)  6 As 3.19-3.37, 10 Ir 3.38-3.43